Record 1
! Li2WBr | the Alexandria database | PBE | optimized geometry; values from VASP
&SYSTEM
  ibrav = 0, nat = 4, ntyp = 3
/
ATOMIC_SPECIES
Br 79.90 Br.upf
Li 6.94 Li.upf
W 183.84 W.upf
ATOMIC_POSITIONS crystal
Br 0.500 0.750 0.750
Li 0.000 0.028 0.972
Li 0.000 0.472 0.528
W 0.500 0.250 0.250
CELL_PARAMETERS angstrom
2.887 0.000 0.000
0.000 2.884 0.000
0.000 2.881 8.218
! theoretical density = 6.74 g/cm3
! spin magnetization = 0.1 μB/f.u.
! formation energy without anion corrections = 0.24 eV/atom
! volume = 68 Å³/cell
! E_tot = -4.376 eV per atom
! relative energy among the computed polymorphs = 0.1011 eV/atom
! symmetry = P4/mmm, No. 123


Record 2
! Li2WBr | the Alexandria database | PBE | optimized geometry; values from VASP
&SYSTEM
  ibrav = 0, nat = 4, ntyp = 3
/
ATOMIC_SPECIES
Br 79.90 Br.upf
Li 6.94 Li.upf
W 183.84 W.upf
ATOMIC_POSITIONS crystal
Br 0.500 0.500 0.798
Li 0.000 0.000 0.000
Li 0.500 0.500 0.229
W 0.000 0.000 0.473
CELL_PARAMETERS angstrom
3.091 0.000 0.000
0.000 3.091 0.000
0.000 0.000 6.670
! theoretical density = 7.24 g/cm3
! spin magnetization = 0.0 μB/f.u.
! formation energy without anion corrections = 0.49 eV/atom
! volume = 64 Å³/cell
! E_tot = -4.120 eV per atom
! relative energy among the computed polymorphs = 0.3562 eV/atom
! symmetry = P4mm, No. 99


Record 3
! LiW2Br | the Alexandria database | PBE | optimized geometry; values from VASP
&SYSTEM
  ibrav = 0, nat = 4, ntyp = 3
/
ATOMIC_SPECIES
Br 79.90 Br.upf
Li 6.94 Li.upf
W 183.84 W.upf
ATOMIC_POSITIONS crystal
Br 0.500 0.000 0.500
Li 0.000 0.500 0.500
W 0.000 0.000 0.000
W 0.500 0.500 0.000
CELL_PARAMETERS angstrom
5.326 0.005 0.000
-2.815 4.522 0.000
0.000 0.000 2.837
! theoretical density = 11.04 g/cm3
! spin magnetization = 0.0 μB/f.u.
! formation energy without anion corrections = 1.14 eV/atom
! volume = 68 Å³/cell
! E_tot = -6.229 eV per atom
! relative energy among the computed polymorphs = 0.9203 eV/atom
! symmetry = Cmmm, No. 65


Record 4
! LiWBr6 | the Alexandria database | PBE | optimized geometry; values from VASP
&SYSTEM
  ibrav = 0, nat = 8, ntyp = 3
/
ATOMIC_SPECIES
Li 6.94 Li.upf
W 183.84 W.upf
Br 79.90 Br.upf
ATOMIC_POSITIONS crystal
Li 0.500 0.500 0.500
W 0.000 0.000 0.000
Br 0.081 0.388 0.760
Br 0.772 0.081 0.760
Br 0.612 0.229 0.240
Br 0.228 0.919 0.240
Br 0.919 0.612 0.240
Br 0.388 0.771 0.760
CELL_PARAMETERS angstrom
-2.990 -0.417 -5.963
-5.715 -3.405 -0.643
-5.998 3.698 -0.997
! theoretical density = 4.81 g/cm3
! spin magnetization = 1.0 μB/f.u.
! formation energy without anion corrections = -0.66 eV/atom
! volume = 231 Å³/cell
! E_tot = -3.775 eV per atom
! relative energy among the computed polymorphs = 0.0249 eV/atom
! symmetry = R-3, No. 148


Record 5
! LiW2Br | the Alexandria database | PBE | optimized geometry; values from VASP
&SYSTEM
  ibrav = 0, nat = 4, ntyp = 3
/
ATOMIC_SPECIES
Br 79.90 Br.upf
Li 6.94 Li.upf
W 183.84 W.upf
ATOMIC_POSITIONS crystal
Br 0.500 0.250 0.250
Li 0.500 0.750 0.750
W 0.000 0.017 0.963
W 0.000 0.483 0.537
CELL_PARAMETERS angstrom
5.393 0.000 0.000
0.000 3.165 -0.020
0.000 -0.230 4.365
! theoretical density = 10.13 g/cm3
! spin magnetization = 0.0 μB/f.u.
! formation energy without anion corrections = 0.71 eV/atom
! volume = 74 Å³/cell
! E_tot = -6.663 eV per atom
! relative energy among the computed polymorphs = 0.4862 eV/atom
! symmetry = P2/m, No. 10


Record 6
! Li2WBr | the Alexandria database | PBE | optimized geometry; values from VASP
&SYSTEM
  ibrav = 0, nat = 4, ntyp = 3
/
ATOMIC_SPECIES
Br 79.90 Br.upf
Li 6.94 Li.upf
W 183.84 W.upf
ATOMIC_POSITIONS crystal
Br 0.500 0.500 0.750
Li 0.000 0.000 0.974
Li 0.000 0.000 0.526
W 0.500 0.500 0.250
CELL_PARAMETERS angstrom
-0.475 2.599 -1.246
-2.305 -1.070 1.439
2.704 3.996 7.302
! theoretical density = 6.76 g/cm3
! spin magnetization = 0.0 μB/f.u.
! formation energy without anion corrections = 0.16 eV/atom
! volume = 68 Å³/cell
! E_tot = -4.453 eV per atom
! relative energy among the computed polymorphs = 0.0233 eV/atom
! symmetry = Cmmm, No. 65


Record 7
! LiWBr2 | the Alexandria database | PBE | optimized geometry; values from VASP
&SYSTEM
  ibrav = 0, nat = 4, ntyp = 3
/
ATOMIC_SPECIES
Br 79.90 Br.upf
Li 6.94 Li.upf
W 183.84 W.upf
ATOMIC_POSITIONS crystal
Br 0.049 0.049 0.000
Br 0.779 0.279 0.500
Li 0.443 0.443 0.000
W 0.228 0.728 0.500
CELL_PARAMETERS angstrom
-5.184 4.300 -0.608
-5.897 0.751 3.225
6.744 -0.434 -0.248
! theoretical density = 7.06 g/cm3
! spin magnetization = 0.8 μB/f.u.
! formation energy without anion corrections = 0.41 eV/atom
! volume = 82 Å³/cell
! E_tot = -4.147 eV per atom
! relative energy among the computed polymorphs = 0.3662 eV/atom
! symmetry = Imm2, No. 44


Record 8
! LiW2Br | the Alexandria database | PBE | optimized geometry; values from VASP
&SYSTEM
  ibrav = 0, nat = 4, ntyp = 3
/
ATOMIC_SPECIES
Br 79.90 Br.upf
W 183.84 W.upf
Li 6.94 Li.upf
ATOMIC_POSITIONS crystal
Br 0.500 0.500 0.500
W 0.250 0.250 0.250
W 0.750 0.750 0.750
Li 0.000 0.000 0.000
CELL_PARAMETERS angstrom
0.000 3.115 3.115
3.115 0.000 3.115
3.115 3.115 0.000
! theoretical density = 12.48 g/cm3
! spin magnetization = 0.0 μB/f.u.
! formation energy without anion corrections = 1.46 eV/atom
! volume = 60 Å³/cell
! E_tot = -5.913 eV per atom
! relative energy among the computed polymorphs = 1.2356 eV/atom
! symmetry = Fm-3m, No. 225


Record 9
! Li2WBr | the Alexandria database | PBE | optimized geometry; values from VASP
&SYSTEM
  ibrav = 0, nat = 4, ntyp = 3
/
ATOMIC_SPECIES
Br 79.90 Br.upf
Li 6.94 Li.upf
W 183.84 W.upf
ATOMIC_POSITIONS crystal
Br 0.750 0.250 0.500
Li 0.000 0.000 0.000
Li 0.250 0.750 0.500
W 0.500 0.500 0.000
CELL_PARAMETERS angstrom
5.119 0.001 0.000
2.422 4.509 0.000
-3.770 -2.255 2.627
! theoretical density = 7.60 g/cm3
! spin magnetization = 0.0 μB/f.u.
! formation energy without anion corrections = 0.74 eV/atom
! volume = 61 Å³/cell
! E_tot = -3.871 eV per atom
! relative energy among the computed polymorphs = 0.6061 eV/atom
! symmetry = I-4m2, No. 119


Record 10
! LiW2Br | the Alexandria database | PBE | optimized geometry; values from VASP
&SYSTEM
  ibrav = 0, nat = 4, ntyp = 3
/
ATOMIC_SPECIES
Br 79.90 Br.upf
Li 6.94 Li.upf
W 183.84 W.upf
ATOMIC_POSITIONS crystal
Br 0.500 0.500 0.000
Li 0.500 0.000 0.500
W 0.000 0.000 0.000
W 0.000 0.500 0.500
CELL_PARAMETERS angstrom
7.716 0.000 0.000
0.000 3.563 0.000
0.000 0.000 3.563
! theoretical density = 7.71 g/cm3
! spin magnetization = 0.0 μB/f.u.
! formation energy without anion corrections = 0.86 eV/atom
! volume = 98 Å³/cell
! E_tot = -6.509 eV per atom
! relative energy among the computed polymorphs = 0.6396 eV/atom
! symmetry = P4/mmm, No. 123


Record 11
! LiWBr2 | the Alexandria database | PBE | optimized geometry; values from VASP
&SYSTEM
  ibrav = 0, nat = 4, ntyp = 3
/
ATOMIC_SPECIES
Br 79.90 Br.upf
Li 6.94 Li.upf
W 183.84 W.upf
ATOMIC_POSITIONS crystal
Br 0.000 0.000 0.000
Br 0.500 0.500 0.000
Li 0.500 0.000 0.500
W 0.000 0.500 0.500
CELL_PARAMETERS angstrom
-2.953 -3.508 -1.447
3.737 -2.369 -1.883
0.432 -1.491 2.733
! theoretical density = 8.01 g/cm3
! spin magnetization = 1.2 μB/f.u.
! formation energy without anion corrections = 0.46 eV/atom
! volume = 73 Å³/cell
! E_tot = -4.090 eV per atom
! relative energy among the computed polymorphs = 0.4236 eV/atom
! symmetry = P4/mmm, No. 123


Record 12
! Li2WBr | the Alexandria database | PBE | optimized geometry; values from VASP
&SYSTEM
  ibrav = 0, nat = 4, ntyp = 3
/
ATOMIC_SPECIES
Br 79.90 Br.upf
Li 6.94 Li.upf
W 183.84 W.upf
ATOMIC_POSITIONS crystal
Br 0.259 0.259 0.362
Li 0.975 0.975 0.942
Li 0.740 0.740 0.790
W 0.526 0.526 0.405
CELL_PARAMETERS angstrom
4.877 -0.011 0.003
3.946 2.866 0.003
1.835 0.594 4.675
! theoretical density = 7.04 g/cm3
! spin magnetization = 0.0 μB/f.u.
! formation energy without anion corrections = 0.49 eV/atom
! volume = 66 Å³/cell
! E_tot = -4.126 eV per atom
! relative energy among the computed polymorphs = 0.3509 eV/atom
! symmetry = Cm, No. 8